## KIn2Mo (PBE)

Data for a geometry-optimized KIn2Mo structure.

```
KIn2Mo
1.0
-4.9061 1.1689 3.0810
-3.2095 -0.4423 -4.9428
-5.2309 -8.7082 0.6426
Mo K In
2 2 4
Direct
0.0000 0.0000 0.0000
0.7500 0.2500 0.5000
0.5000 0.5000 0.0000
0.2500 0.7500 0.5000
0.8707 0.1250 0.2500
0.8793 0.6250 0.2500
0.3750 0.1293 0.7500
0.8750 0.1207 0.7500
```

Calculated values
offset from the most stable computed form	500	meV per atom
energy relative to the elements	834	meV per atom
total moment	5.549	μB/cell

***

## K2InMo (PBE)

Data for a geometry-optimized K2InMo structure.

```
K2InMo
1.0
9.7097 0.0000 0.0000
0.0000 9.7097 0.0000
4.8548 4.8548 2.9800
Mo K In
2 4 2
Direct
0.5000 0.5000 0.0000
0.2500 0.7500 0.5000
0.6183 0.1250 0.2500
0.1317 0.6250 0.2500
0.3750 0.3817 0.7500
0.8750 0.8683 0.7500
0.0000 0.0000 0.0000
0.7500 0.2500 0.5000
```

Calculated values
energy relative to the elements	1105	meV per atom
total moment	7.092	μB/cell

***

## K2InMo (PBE)

Data for a geometry-optimized K2InMo structure.

```
K2InMo
1.0
2.9823 0.0000 0.0000
0.0000 2.9823 0.0000
0.0000 0.0000 12.2395
In K Mo
1 2 1
Direct
0.5000 0.5000 0.7500
0.0000 0.0000 0.0099
0.0000 0.0000 0.4901
0.5000 0.5000 0.2500
```

Calculated values
energy relative to the elements	999	meV per atom
total moment	0.597	μB/cell

***

## KIn2Mo (PBE)

Data for a geometry-optimized KIn2Mo structure.

```
KIn2Mo
1.0
-0.8761 -2.5849 1.2914
-0.0884 -1.3248 -2.7118
10.1713 -2.9040 1.0872
In K Mo
2 1 1
Direct
0.0000 0.0000 0.9789
0.5000 0.5000 0.2240
0.0000 0.0000 0.5119
0.5000 0.5000 0.7852
```

Calculated values
offset from the most stable computed form	310	meV per atom
energy relative to the elements	644	meV per atom
total moment	0.000	μB/cell

***

## KIn3Mo (PBE)

Data for a geometry-optimized KIn3Mo structure.

```
KIn3Mo
1.0
-1.6493 -2.1365 -5.1894
4.6388 -3.5631 -0.0073
-3.1584 -4.1175 2.6990
Mo K In
1 1 3
Direct
0.5000 0.5000 0.5000
0.0000 0.0000 0.0000
0.0000 0.5000 0.0000
0.0000 0.0000 0.5000
0.5000 0.0000 0.0000
```

Calculated values
offset from the most stable computed form	1502	meV per atom
energy relative to the elements	1695	meV per atom
total moment	3.649	μB/cell

***

## K2InMo (PBE)

Data for a geometry-optimized K2InMo structure.

```
K2InMo
1.0
2.9848 0.0621 0.0000
-0.6918 2.9042 0.0000
0.0000 0.0000 12.3366
In K Mo
1 2 1
Direct
0.5000 0.5000 0.7500
0.0000 0.0000 0.0096
0.0000 0.0000 0.4904
0.5000 0.5000 0.2500
```

Calculated values
energy relative to the elements	989	meV per atom
total moment	0.440	μB/cell